{
  "formula": "Ni2MoW",
  "functional": "PBE",
  "state": "relaxed",
  "cell": [[-3.3527, 3.3527, 2.5483], [3.3527, -3.3527, 2.5483], [3.3527, 3.3527, -2.5483]],
  "species": ["Ni", "Ni", "Ni", "Ni", "Mo", "Mo", "W", "W"],
  "frac_coords": [[0.1220, 0.6250, 0.9970], [0.3750, 0.3720, 0.4970], [0.6280, 0.1250, 0.0030], [0.8750, 0.8780, 0.5030], [0.2500, 0.7500, 0.5000], [0.5000, 0.5000, 0.0000], [0.0000, 0.0000, 0.0000], [0.7500, 0.2500, 0.5000]],
  "dos_ef_per_ev_atom": 0.9337,
  "ef_ev_per_atom": 0.56
}

{
  "formula": "Pm3Pr8In",
  "functional": "PBE",
  "state": "relaxed",
  "cell": [[-4.4090, 4.4090, 5.8553], [4.4090, -4.4090, 5.8553], [4.4090, 4.4090, -5.8553]],
  "species": ["Pm", "Pm", "Pm", "Pr", "Pr", "Pr", "Pr", "Pr", "Pr", "Pr", "Pr", "In"],
  "frac_coords": [[0.0000, 0.0000, 0.0000], [0.2500, 0.7500, 0.5000], [0.7500, 0.2500, 0.5000], [0.1222, 0.3765, 0.0000], [0.2359, 0.7402, 0.0000], [0.2598, 0.2598, 0.4957], [0.3765, 0.1222, 0.0000], [0.6235, 0.6235, 0.7457], [0.7402, 0.2359, 0.0000], [0.7641, 0.7641, 0.5043], [0.8778, 0.8778, 0.2543], [0.5000, 0.5000, 0.0000]],
  "dos_ef_per_ev_atom": 1.5910,
  "ef_ev_per_atom": 0.40
}

{
  "formula": "Ho3Zr5H12",
  "functional": "PBE",
  "state": "relaxed",
  "cell": [[-6.1662, 6.1662, 6.1662], [6.1662, -6.1662, 6.1662], [6.1662, 6.1662, -6.1662]],
  "species": ["Ho", "Ho", "Ho", "Ho", "Ho", "Ho", "Ho", "Ho", "Ho", "Ho", "Ho", "Ho", "Zr", "Zr", "Zr", "Zr", "Zr", "Zr", "Zr", "Zr", "Zr", "Zr", "Zr", "Zr", "Zr", "Zr", "Zr", "Zr", "Zr", "Zr", "Zr", "Zr", "H", "H", "H", "H", "H", "H", "H", "H", "H", "H", "H", "H", "H", "H", "H", "H", "H", "H", "H", "H", "H", "H", "H", "H", "H", "H", "H", "H", "H", "H", "H", "H", "H", "H", "H", "H", "H", "H", "H", "H", "H", "H", "H", "H", "H", "H", "H", "H"],
  "frac_coords": [[0.1250, 0.2500, 0.3750], [0.1250, 0.3750, 0.7500], [0.2500, 0.3750, 0.1250], [0.2500, 0.8750, 0.6250], [0.3750, 0.1250, 0.2500], [0.3750, 0.7500, 0.1250], [0.6250, 0.2500, 0.8750], [0.6250, 0.8750, 0.7500], [0.7500, 0.1250, 0.3750], [0.7500, 0.6250, 0.8750], [0.8750, 0.6250, 0.2500], [0.8750, 0.7500, 0.6250], [0.0000, 0.0000, 0.0000], [0.0000, 0.0000, 0.5000], [0.0000, 0.5000, 0.0000], [0.0000, 0.5000, 0.5000], [0.1250, 0.7500, 0.8750], [0.1250, 0.8750, 0.2500], [0.2500, 0.1250, 0.8750], [0.2500, 0.6250, 0.3750], [0.3750, 0.2500, 0.6250], [0.3750, 0.6250, 0.7500], [0.5000, 0.0000, 0.0000], [0.5000, 0.0000, 0.5000], [0.5000, 0.5000, 0.0000], [0.5000, 0.5000, 0.5000], [0.6250, 0.3750, 0.2500], [0.6250, 0.7500, 0.3750], [0.7500, 0.3750, 0.6250], [0.7500, 0.8750, 0.1250], [0.8750, 0.1250, 0.7500], [0.8750, 0.2500, 0.1250], [0.0583, 0.2191, 0.1438], [0.0583, 0.3391, 0.9144], [0.0753, 0.7191, 0.6609], [0.0753, 0.8562, 0.4144], [0.0856, 0.6438, 0.4247], [0.0856, 0.9417, 0.6609], [0.1438, 0.0583, 0.2191], [0.1438, 0.5856, 0.9247], [0.1609, 0.2191, 0.5753], [0.1609, 0.4417, 0.5856], [0.2191, 0.1438, 0.0583], [0.2191, 0.5753, 0.1609], [0.2809, 0.3391, 0.9247], [0.2809, 0.4417, 0.3562], [0.3391, 0.9144, 0.0583], [0.3391, 0.9247, 0.2809], [0.3562, 0.2809, 0.4417], [0.3562, 0.5753, 0.9144], [0.4144, 0.0753, 0.8562], [0.4144, 0.8391, 0.5583], [0.4247, 0.0856, 0.6438], [0.4247, 0.8391, 0.7809], [0.4417, 0.3562, 0.2809], [0.4417, 0.5856, 0.1609], [0.5583, 0.4144, 0.8391], [0.5583, 0.6438, 0.7191], [0.5753, 0.1609, 0.2191], [0.5753, 0.9144, 0.3562], [0.5856, 0.1609, 0.4417], [0.5856, 0.9247, 0.1438], [0.6438, 0.4247, 0.0856], [0.6438, 0.7191, 0.5583], [0.6609, 0.0753, 0.7191], [0.6609, 0.0856, 0.9417], [0.7191, 0.5583, 0.6438], [0.7191, 0.6609, 0.0753], [0.7809, 0.4247, 0.8391], [0.7809, 0.8562, 0.9417], [0.8391, 0.5583, 0.4144], [0.8391, 0.7809, 0.4247], [0.8562, 0.4144, 0.0753], [0.8562, 0.9417, 0.7809], [0.9144, 0.0583, 0.3391], [0.9144, 0.3562, 0.5753], [0.9247, 0.1438, 0.5856], [0.9247, 0.2809, 0.3391], [0.9417, 0.6609, 0.0856], [0.9417, 0.7809, 0.8562]],
  "total_energy_ev_per_atom": -5.308,
  "dos_ef_per_ev_atom": 0.3743
}

{
  "formula": "Te2IrSe",
  "functional": "PBE",
  "state": "relaxed",
  "cell": [[-3.2894, 3.2894, 5.7405], [3.2894, -3.2894, 5.7405], [3.2894, 3.2894, -5.7405]],
  "species": ["Te", "Te", "Te", "Te", "Ir", "Ir", "Se", "Se"],
  "frac_coords": [[0.0705, 0.6250, 0.9455], [0.3750, 0.3205, 0.4455], [0.6795, 0.1250, 0.0545], [0.8750, 0.9295, 0.5545], [0.0000, 0.0000, 0.0000], [0.7500, 0.2500, 0.5000], [0.2500, 0.7500, 0.5000], [0.5000, 0.5000, 0.0000]],
  "dos_ef_per_ev_atom": 0.2996,
  "raw_formation_energy_ev_per_fu": 0.78
}

{
  "formula": "Na3Sr6In",
  "functional": "PBE",
  "state": "relaxed",
  "cell": [[10.9470, 0.0000, 0.0000], [0.0000, 6.2116, 0.0000], [-3.6904, 0.0000, 13.0703]],
  "species": ["Na", "Na", "Na", "Na", "Na", "Na", "Sr", "Sr", "Sr", "Sr", "Sr", "Sr", "Sr", "Sr", "Sr", "Sr", "Sr", "Sr", "In", "In"],
  "frac_coords": [[0.0333, 0.2500, 0.3935], [0.1202, 0.7500, 0.2271], [0.2695, 0.2500, 0.9787], [0.7305, 0.7500, 0.0213], [0.8798, 0.2500, 0.7729], [0.9667, 0.7500, 0.6065], [0.0274, 0.7500, 0.9021], [0.1693, 0.2500, 0.6787], [0.2901, 0.7500, 0.5084], [0.3588, 0.2500, 0.3352], [0.3692, 0.7500, 0.8202], [0.3984, 0.7500, 0.1321], [0.6016, 0.2500, 0.8679], [0.6308, 0.2500, 0.1798], [0.6412, 0.7500, 0.6648], [0.7099, 0.2500, 0.4916], [0.8307, 0.7500, 0.3213], [0.9726, 0.2500, 0.0979], [0.4492, 0.2500, 0.6157], [0.5508, 0.7500, 0.3843]],
  "dos_ef_per_ev_atom": 0.8849,
  "ef_ev_per_atom": -0.06
}

{
  "formula": "CoNi3As",
  "functional": "PBE",
  "state": "relaxed",
  "cell": [[4.2844, 0.0000, 0.0000], [0.0000, 4.2844, 0.0000], [0.0000, 0.0000, 4.2844]],
  "species": ["Co", "Ni", "Ni", "Ni", "As"],
  "frac_coords": [[0.0000, 0.0000, 0.0000], [0.0000, 0.5000, 0.5000], [0.5000, 0.0000, 0.5000], [0.5000, 0.5000, 0.0000], [0.5000, 0.5000, 0.5000]],
  "dos_ef_per_ev_atom": 1.2268,
  "ef_ev_per_atom": 0.74
}

{
  "formula": "RbRu4",
  "functional": "PBE",
  "state": "relaxed",
  "cell": [[4.6566, 0.0000, 0.0000], [0.0000, 4.6566, 0.0000], [0.0000, 0.0000, 4.6566]],
  "species": ["Rb", "Ru", "Ru", "Ru", "Ru"],
  "frac_coords": [[0.0000, 0.0000, 0.0000], [0.0000, 0.0000, 0.5000], [0.0000, 0.5000, 0.0000], [0.5000, 0.0000, 0.0000], [0.5000, 0.5000, 0.5000]],
  "dos_ef_per_ev_atom": 1.7615,
  "ef_ev_per_atom": 3.35
}

{
  "formula": "PuCd2Ag",
  "functional": "PBE",
  "state": "relaxed",
  "cell": [[4.4749, 0.0000, 0.0000], [0.0000, 4.4749, 0.0000], [0.0000, 0.0000, 4.9207]],
  "species": ["Pu", "Cd", "Cd", "Ag"],
  "frac_coords": [[0.0000, 0.0000, 0.0000], [0.0000, 0.5000, 0.5000], [0.5000, 0.0000, 0.5000], [0.5000, 0.5000, 0.0000]],
  "dos_ef_per_ev_atom": 3.6785,
  "ef_ev_per_atom": 0.10
}

{
  "formula": "PaTiCoRe",
  "functional": "PBE",
  "state": "relaxed",
  "cell": [[0.0000, 3.2371, 3.2371], [3.2371, 0.0000, 3.2371], [3.2371, 3.2371, 0.0000]],
  "species": ["Pa", "Ti", "Co", "Re"],
  "frac_coords": [[0.0000, 0.0000, 0.0000], [0.5000, 0.5000, 0.5000], [0.2500, 0.2500, 0.2500], [0.7500, 0.7500, 0.7500]],
  "dos_ef_per_ev_atom": 1.0935,
  "ef_ev_per_atom": -0.14
}

{
  "formula": "LaGaN2O",
  "functional": "PBE",
  "state": "relaxed",
  "cell": [[3.8799, 0.0000, 0.0000], [0.0000, 3.8799, 0.0000], [0.0000, 0.0000, 4.1371]],
  "species": ["La", "Ga", "N", "N", "O"],
  "frac_coords": [[0.0000, 0.0000, 0.0000], [0.5000, 0.5000, 0.5000], [0.0000, 0.5000, 0.5000], [0.5000, 0.0000, 0.5000], [0.5000, 0.5000, 0.0000]],
  "dos_ef_per_ev_atom": 0.8638,
  "raw_formation_energy_ev_per_fu": -3.70
}

{
  "formula": "LiCoP2Rh",
  "functional": "PBE",
  "state": "relaxed",
  "cell": [[-1.9190, 1.9190, 4.6989], [1.9190, -1.9190, 4.6989], [1.9190, 1.9190, -4.6989]],
  "species": ["Li", "Co", "P", "P", "Rh"],
  "frac_coords": [[0.0000, 0.0000, 0.0000], [0.7500, 0.2500, 0.5000], [0.3819, 0.3819, 0.0000], [0.6181, 0.6181, 0.0000], [0.2500, 0.7500, 0.5000]],
  "dos_ef_per_ev_atom": 0.5969,
  "ef_ev_per_atom": -0.67
}

{
  "formula": "MnHgCl6",
  "functional": "PBE",
  "state": "relaxed",
  "cell": [[6.3566, 3.6700, 2.1999], [-6.3566, 3.6700, 2.1999], [0.0000, -7.3399, 2.1999]],
  "species": ["Mn", "Hg", "Cl", "Cl", "Cl", "Cl", "Cl", "Cl"],
  "frac_coords": [[0.0000, 0.0000, 0.0000], [0.5000, 0.5000, 0.5000], [0.1178, 0.1178, 0.3726], [0.1178, 0.3726, 0.1178], [0.3726, 0.1178, 0.1178], [0.6274, 0.8822, 0.8822], [0.8822, 0.6274, 0.8822], [0.8822, 0.8822, 0.6274]],
  "raw_formation_energy_ev_per_fu": -5.44
}